Record 1
The following is a DFT calculation (meta-GGA SCAN) of SbMoSe2 at its PBEsol-relaxed geometry.

Calculated values
- Raw total energy: -112.2 eV per cell
- Symmetry: No. 65
- Raw formation energy: 0.1 eV/f.u.
- Volume: 20.50 Å³/atom

Unit cell a=3.179 b=5.438 c=5.438 alpha=119.28 beta=90.00 gamma=90.00
Fractional positions:
Mo 0.500 0.500 0.500
Sb 0.500 0.000 0.000
Se 0.000 0.294 0.706
Se 0.000 0.706 0.294

---

Record 2
The following is a DFT calculation (meta-GGA SCAN) of KRb3 at its PBEsol-relaxed geometry.

Calculated values
- Raw total energy: -70.5 eV per cell
- Formation energy from the elements: 0.00 eV per atom
- Symmetry: No. 221
- Volume: 81.95 Å³/atom

Unit cell a=6.895 b=6.895 c=6.895 alpha=90.00 beta=90.00 gamma=90.00
Fractional positions:
Rb 0.500 0.000 0.500
Rb 0.000 0.500 0.500
Rb 0.500 0.500 0.000
K 0.000 0.000 0.000

---

Record 3
The following is a DFT calculation (meta-GGA SCAN) of ZrBe2Cl at its PBEsol-relaxed geometry.

Calculated values
- Raw total energy: -47.3 eV per cell
- Symmetry: No. 6
- Raw formation energy: 0.1 eV/f.u.
- Energy relative to the lowest polymorph listed for this composition: 376 meV per atom
- Volume: 14.44 Å³/atom

Unit cell a=2.948 b=3.897 c=5.027 alpha=90.00 beta=90.12 gamma=90.00
Fractional positions:
Cl 0.750 0.000 0.492
Zr 0.249 0.500 0.780
Be 0.754 0.500 0.196
Be 0.747 0.000 0.032

---

Record 4
The following is a DFT calculation (meta-GGA SCAN) of YMgCu2 at its PBEsol-relaxed geometry.

Calculated values
- Raw total energy: -64.1 eV per cell
- Formation energy from the elements: -0.21 eV per atom
- Symmetry: No. 38
- Volume: 18.65 Å³/atom

Unit cell a=3.737 b=3.950 c=5.389 alpha=90.00 beta=110.28 gamma=90.00
Fractional positions:
Cu 0.679 0.500 0.358
Mg 0.108 0.000 0.217
Y 0.399 0.500 0.797
Cu 0.816 0.000 0.631

---

Record 5
The following is a DFT calculation (meta-GGA SCAN) of ScAsP3 at its PBEsol-relaxed geometry.

Calculated values
- Raw total energy: -61.6 eV per cell
- Formation energy from the elements: 0.80 eV per atom
- Symmetry: No. 221
- Volume: 22.34 Å³/atom

Unit cell a=4.816 b=4.816 c=4.816 alpha=90.00 beta=90.00 gamma=90.00
Fractional positions:
P 0.500 0.000 0.000
P 0.000 0.500 0.000
As 0.500 0.500 0.500
P 0.000 0.000 0.500
Sc 0.000 0.000 0.000

---

Record 6
The following is a DFT calculation (meta-GGA SCAN) of H2BrF at its PBEsol-relaxed geometry.

Calculated values
- Raw total energy: -26.8 eV per cell
- Symmetry: No. 225
- Volume: 9.11 Å³/atom

Unit cell a=3.721 b=3.721 c=3.721 alpha=60.00 beta=60.00 gamma=60.00
Fractional positions:
Br 0.500 0.500 0.500
H 0.250 0.250 0.250
F 0.000 0.000 0.000
H 0.750 0.750 0.750

---

Record 7
The following is a DFT calculation (meta-GGA SCAN) of Cd2CoCu at its PBEsol-relaxed geometry.

Calculated values
- Raw total energy: -92.6 eV per cell
- Formation energy from the elements: 0.18 eV per atom
- Symmetry: No. 225
- Energy relative to the lowest polymorph listed for this composition: 0 meV per atom
- Volume: 14.85 Å³/atom

Unit cell a=4.379 b=4.379 c=4.379 alpha=60.00 beta=60.00 gamma=60.00
Fractional positions:
Co 0.000 0.000 0.000
Cu 0.500 0.500 0.500
Cd 0.250 0.250 0.250
Cd 0.750 0.750 0.750

---

Record 8
The following is a DFT calculation (meta-GGA SCAN) of ZnInW at its PBEsol-relaxed geometry.

Calculated values
- Raw total energy: -113.2 eV per cell
- Formation energy from the elements: 1.14 eV per atom
- Symmetry: No. 216
- Energy relative to the lowest polymorph listed for this composition: 555 meV per atom
- Volume: 20.53 Å³/atom

Unit cell a=4.433 b=4.433 c=4.433 alpha=60.00 beta=60.00 gamma=60.00
Fractional positions:
W 0.250 0.250 0.250
Zn 0.000 0.000 0.000
In 0.500 0.500 0.500

---

Record 9
The following is a DFT calculation (meta-GGA SCAN) of BeCu7 at its PBEsol-relaxed geometry.

Calculated values
- Raw total energy: -110.9 eV per cell
- Formation energy from the elements: -0.02 eV per atom
- Symmetry: No. 225
- Volume: 10.95 Å³/atom

Unit cell a=4.985 b=4.985 c=4.985 alpha=60.00 beta=60.00 gamma=60.00
Fractional positions:
Cu 0.500 0.000 0.000
Be 0.000 0.000 0.000
Cu 0.500 0.000 0.500
Cu 0.000 0.500 0.500
Cu 0.500 0.500 0.500
Cu 0.500 0.500 0.000
Cu 0.000 0.000 0.500
Cu 0.000 0.500 0.000

---

Record 10
The following is a DFT calculation (meta-GGA SCAN) of PmSbAu2 at its PBEsol-relaxed geometry.

Calculated values
- Raw total energy: -222.7 eV per cell
- Symmetry: No. 225
- Raw formation energy: -3.1 eV/f.u.
- Volume: 21.98 Å³/atom

Unit cell a=4.991 b=4.991 c=4.991 alpha=60.00 beta=60.00 gamma=60.00
Fractional positions:
Au 0.250 0.250 0.250
Sb 0.000 0.000 0.000
Au 0.750 0.750 0.750
Pm 0.500 0.500 0.500

---

Record 11
The following is a DFT calculation (meta-GGA SCAN) of NaCoAsSe2 at its PBEsol-relaxed geometry.

Calculated values
- Raw total energy: -75.7 eV per cell
- Symmetry: No. 123
- Raw formation energy: 6.1 eV/f.u.
- Volume: 23.45 Å³/atom

Unit cell a=4.809 b=4.938 c=4.938 alpha=90.00 beta=90.00 gamma=90.00
Fractional positions:
Se 0.000 0.000 0.500
As 0.500 0.000 0.000
Na 0.000 0.000 0.000
Se 0.000 0.500 0.000
Co 0.500 0.500 0.500

---

Record 12
The following is a DFT calculation (meta-GGA SCAN) of BeZnMo2 at its PBEsol-relaxed geometry.

Calculated values
- Raw total energy: -87.3 eV per cell
- Formation energy from the elements: 0.09 eV per atom
- Symmetry: No. 123
- Energy relative to the lowest polymorph listed for this composition: 0 meV per atom
- Volume: 13.17 Å³/atom

Unit cell a=2.595 b=2.595 c=7.823 alpha=90.00 beta=90.00 gamma=90.00
Fractional positions:
Mo 0.000 0.000 0.271
Be 0.500 0.500 0.500
Zn 0.500 0.500 0.000
Mo 0.000 0.000 0.729

---

Record 13
The following is a DFT calculation (meta-GGA SCAN) of Tb2Zn17 at its PBEsol-relaxed geometry.

Calculated values
- Raw total energy: -329.1 eV per cell
- Formation energy from the elements: -0.31 eV per atom
- Symmetry: No. 166
- Volume: 15.16 Å³/atom

Unit cell a=6.653 b=6.653 c=6.653 alpha=82.85 beta=82.85 gamma=82.85
Fractional positions:
Zn 0.839 0.352 0.352
Zn 0.000 0.500 0.000
Zn 0.297 0.703 0.000
Zn 0.500 0.000 0.000
Zn 0.352 0.352 0.839
Zn 0.297 0.000 0.703
Zn 0.648 0.161 0.648
Tb 0.336 0.336 0.336
Zn 0.000 0.297 0.703
Zn 0.703 0.297 0.000
Zn 0.100 0.100 0.100
Zn 0.000 0.703 0.297
Zn 0.900 0.900 0.900
Zn 0.000 0.000 0.500
Zn 0.703 0.000 0.297
Zn 0.352 0.839 0.352
Zn 0.648 0.648 0.161
Tb 0.664 0.664 0.664
Zn 0.161 0.648 0.648

---

Record 14
The following is a DFT calculation (meta-GGA SCAN) of HfTc3Ni at its PBEsol-relaxed geometry.

Calculated values
- Raw total energy: -172.7 eV per cell
- Formation energy from the elements: 2.27 eV per atom
- Symmetry: No. 221
- Energy relative to the lowest polymorph listed for this composition: 1279 meV per atom
- Volume: 19.49 Å³/atom

Unit cell a=4.602 b=4.602 c=4.602 alpha=90.00 beta=90.00 gamma=90.00
Fractional positions:
Tc 0.000 0.500 0.000
Hf 0.000 0.000 0.000
Tc 0.000 0.000 0.500
Ni 0.500 0.500 0.500
Tc 0.500 0.000 0.000

---

Record 15
The following is a DFT calculation (meta-GGA SCAN) of La3Mg5 at its PBEsol-relaxed geometry.

Calculated values
- Raw total energy: -154.9 eV per cell
- Formation energy from the elements: -0.09 eV per atom
- Symmetry: No. 65
- Volume: 28.37 Å³/atom

Unit cell a=5.287 b=6.707 c=6.707 alpha=107.41 beta=90.00 gamma=90.00
Fractional positions:
La 0.000 0.500 0.500
Mg 0.000 0.500 0.000
La 0.500 0.237 0.763
La 0.500 0.763 0.237
Mg 0.000 0.000 0.000
Mg 0.500 0.243 0.243
Mg 0.000 0.000 0.500
Mg 0.500 0.757 0.757

---

Record 16
The following is a DFT calculation (meta-GGA SCAN) of RbSbOs2W at its PBEsol-relaxed geometry.

Calculated values
- Raw total energy: -256.9 eV per cell
- Symmetry: No. 123
- Raw formation energy: 14.5 eV/f.u.
- Volume: 25.82 Å³/atom

Unit cell a=4.835 b=4.835 c=5.521 alpha=90.00 beta=90.00 gamma=90.00
Fractional positions:
W 0.500 0.500 0.500
Rb 0.000 0.000 0.500
Os 0.500 0.000 0.000
Sb 0.000 0.000 0.000
Os 0.000 0.500 0.000

---

Record 17
The following is a DFT calculation (meta-GGA SCAN) of CsIn2Br at its PBEsol-relaxed geometry.

Calculated values
- Raw total energy: -124.3 eV per cell
- Symmetry: No. 225
- Raw formation energy: -0.3 eV/f.u.
- Volume: 34.30 Å³/atom

Unit cell a=5.789 b=5.789 c=5.789 alpha=60.00 beta=60.00 gamma=60.00
Fractional positions:
Cs 0.500 0.500 0.500
In 0.750 0.750 0.750
In 0.250 0.250 0.250
Br 0.000 0.000 0.000

---

Record 18
The following is a DFT calculation (meta-GGA SCAN) of YScTe at its PBEsol-relaxed geometry.

Calculated values
- Raw total energy: -81.7 eV per cell
- Symmetry: No. 156
- Raw formation energy: -2.4 eV/f.u.
- Energy relative to the lowest polymorph listed for this composition: 27 meV per atom
- Volume: 27.85 Å³/atom

Unit cell a=3.841 b=3.841 c=6.540 alpha=90.00 beta=90.00 gamma=120.00
Fractional positions:
Sc 0.000 0.000 0.960
Te 0.333 0.667 0.679
Y 0.667 0.333 0.361

---

Record 19
The following is a DFT calculation (meta-GGA SCAN) of IrWO6 at its PBEsol-relaxed geometry.

Calculated values
- Raw total energy: -377.6 eV per cell
- Symmetry: No. 14
- Raw formation energy: -10.6 eV/f.u.
- Volume: 13.41 Å³/atom

Unit cell a=5.328 b=5.331 c=7.552 alpha=90.00 beta=90.00 gamma=90.00
Fractional positions:
W 0.000 0.500 0.000
O 0.265 0.266 0.502
Ir 0.500 0.000 0.000
O 0.266 0.265 0.998
O 0.235 0.766 0.998
O 0.765 0.234 0.002
O 0.997 0.500 0.749
W 0.500 0.000 0.500
O 0.003 0.500 0.251
O 0.503 0.000 0.751
O 0.234 0.765 0.502
O 0.734 0.735 0.002
O 0.766 0.235 0.498
O 0.735 0.734 0.498
O 0.497 0.000 0.249
Ir 0.000 0.500 0.500

---

Record 20
The following is a DFT calculation (meta-GGA SCAN) of B6Pb at its PBEsol-relaxed geometry.

Calculated values
- Raw total energy: -119.6 eV per cell
- Formation energy from the elements: 0.11 eV per atom
- Symmetry: No. 221
- Volume: 10.57 Å³/atom

Unit cell a=4.198 b=4.198 c=4.198 alpha=90.00 beta=90.00 gamma=90.00
Fractional positions:
B 0.500 0.500 0.203
Pb 0.000 0.000 0.000
B 0.203 0.500 0.500
B 0.797 0.500 0.500
B 0.500 0.797 0.500
B 0.500 0.203 0.500
B 0.500 0.500 0.797

---

In the order shown, the computed density values come out to 7.60; 1.50; 4.16; 5.35; 3.16; 4.60; 9.71; 9.82; 8.60; 12.48; 4.46; 8.40; 8.24; 9.05; 3.94; 9.92; 5.36; 5.20; 7.31; 6.11 g/cm³.